Computed, not measured: an optimized crystal structure of TlGeRu3 at the PBEsol level of DFT.

## Properties
* formation energy: 1.04 eV/atom
* calculated total energy: -32.87 eV/cell
* space-group type: No. 221

a = 4.489 Å, b = 4.489 Å, c = 4.489 Å
α = 90.00°, β = 90.00°, γ = 90.00°
Sites, in units of the cell vectors:
Ge 0.000 0.000 0.000
Tl 0.500 0.500 0.500
Ru 0.000 0.000 0.500
Ru 0.500 0.000 0.000
Ru 0.000 0.500 0.000



Computed, not measured: an optimized crystal structure of Tm2Ge5Ru3 at the PBEsol level of DFT.

## Properties
* formation energy: -0.65 eV/atom
* calculated total energy: -143.07 eV/cell
* space-group type: No. 72

a = 5.645 Å, b = 8.346 Å, c = 8.346 Å
α = 70.94°, β = 70.23°, γ = 70.23°
Sites, in units of the cell vectors:
Ge 0.750 0.500 0.500
Ge 0.250 0.500 0.500
Ge 0.955 0.795 0.795
Ge 0.045 0.205 0.205
Ge 0.086 0.093 0.736
Ge 0.545 0.205 0.205
Ge 0.455 0.795 0.795
Ge 0.414 0.264 0.907
Ge 0.914 0.907 0.264
Ge 0.586 0.736 0.093
Ru 0.250 0.000 0.000
Ru 0.649 0.441 0.261
Ru 0.149 0.261 0.441
Ru 0.351 0.559 0.739
Ru 0.750 0.000 0.000
Ru 0.851 0.739 0.559
Tm 0.642 0.127 0.588
Tm 0.358 0.873 0.412
Tm 0.142 0.588 0.127
Tm 0.858 0.412 0.873



Computed, not measured: an optimized crystal structure of TmGe2Ru2 at the PBEsol level of DFT.

## Properties
* formation energy: -0.63 eV/atom
* calculated total energy: -38.28 eV/cell
* space-group type: No. 139

a = 4.188 Å, b = 4.188 Å, c = 5.683 Å
α = 111.62°, β = 111.62°, γ = 90.00°
Sites, in units of the cell vectors:
Ru 0.250 0.750 0.500
Ru 0.750 0.250 0.500
Ge 0.372 0.372 0.744
Ge 0.628 0.628 0.256
Tm 0.000 0.000 0.000



Q: calculated total energy of number 2 (Tm2Ge5Ru3)?
A: -143.07 eV/cell



Q: Number 3 is which compound?
A: TmGe2Ru2



What did the third record say?
Computed, not measured: an optimized crystal structure of TmGe2Ru2 at the PBEsol level of DFT.

## Properties
* formation energy: -0.63 eV/atom
* calculated total energy: -38.28 eV/cell
* space-group type: No. 139

a = 4.188 Å, b = 4.188 Å, c = 5.683 Å
α = 111.62°, β = 111.62°, γ = 90.00°
Sites, in units of the cell vectors:
Ru 0.250 0.750 0.500
Ru 0.750 0.250 0.500
Ge 0.372 0.372 0.744
Ge 0.628 0.628 0.256
Tm 0.000 0.000 0.000